Material: HoEr2Pd6
Method: DFT, PBE
State: optimized geometry

Computed properties:
Symmetry: No. 71
Energy of formation (meV/atom): -629

Cell: 3.892 8.295 7.562 Å, 123.26 104.89 90.00°
Sites, in units of the cell vectors:
Ho1 0.000 0.000 0.000
Er1 0.667 0.667 0.334
Er2 0.333 0.333 0.666
Pd1 0.167 0.415 0.334
Pd2 0.833 0.082 0.666
Pd3 0.833 0.585 0.666
Pd4 0.500 0.254 0.000
Pd5 0.167 0.918 0.334
Pd6 0.500 0.746 0.000

---

Material: Ho3ErPd
Method: DFT, PBE
State: optimized geometry

Computed properties:
Symmetry: No. 8
E above lowest polymorph (meV per atom): 0
Energy of formation (meV/atom): -364

Cell: 3.681 6.337 12.525 Å, 86.92 81.55 73.12°
Sites, in units of the cell vectors:
Ho1 0.456 0.935 0.154
Ho2 0.757 0.732 0.754
Ho3 0.104 0.166 0.625
Ho4 0.991 0.102 0.915
Ho5 0.783 0.044 0.390
Ho6 0.429 0.624 0.518
Er1 0.108 0.502 0.283
Er2 0.221 0.565 0.994
Pd1 0.772 0.325 0.130
Pd2 0.439 0.344 0.779